Record 1
The following is a GGA-PBE calculation of a geometry-optimized CrSi4Ru structure, from the Alexandria database.

Output
**Crystal system**: cubic
**Electronic total energy**: -0.466 Ry per atom
**Calculated density**: 5.54 g/cm³
**N(E_F)**: 5.7 states/eV/f.u.
**ΔE_f (raw)**: 0.43 eV/atom
**Space-group type**: F-43m (216)

Unit cell a=4.8273 b=4.8273 c=4.8273 alpha=60.00 beta=60.00 gamma=60.00
Atoms (fractional coordinates):
1 Cr 0.0000 0.0000 0.0000
2 Si 0.1249 0.6250 0.6250
3 Si 0.6250 0.1249 0.6250
4 Si 0.6250 0.6250 0.1249
5 Si 0.6250 0.6250 0.6250
6 Ru 0.2500 0.2500 0.2500

=====

Record 2
The following is a GGA-PBE calculation of a geometry-optimized CrSiRu2 structure, from the Alexandria database.

Output
**Crystal system**: monoclinic
**Electronic total energy**: -0.627 Ry per atom
**Calculated density**: 8.82 g/cm³
**N(E_F)**: 4.1 states/eV/f.u.
**ΔE_f (raw)**: -0.13 eV/atom
**Space-group type**: C2/m (12)

Unit cell a=8.3552 b=2.7836 c=4.6864 alpha=90.00 beta=102.76 gamma=90.00
Atoms (fractional coordinates):
1 Cr 0.0000 0.0000 0.0000
2 Cr 0.5000 0.5000 0.0000
3 Si 0.0000 0.5000 0.5000
4 Si 0.5000 0.0000 0.5000
5 Ru 0.2454 0.0000 0.7473
6 Ru 0.2546 0.5000 0.2527
7 Ru 0.7454 0.5000 0.7473
8 Ru 0.7546 0.0000 0.2527